No. 1
VASP calculation (PBE) on Be2SiAg after structural relaxation.

Output
The size of the total moment is 0.0 μB/cell. For the calculated density, the calculation gives 5.17 g cm⁻³. As for the formation energy without anion corrections: 0.366 eV per atom.

Unit cell a=2.7092 b=2.7092 c=6.7382 alpha=90.00 beta=90.00 gamma=90.00
With the nearest neighbours (Å) after each atom.
Space group P4/mmm (No. 123)
Inequivalent atoms, fractional coordinates:
1 Be 0.0000 0.0000 0.2267 x2  4 Si 2.45, 4 Ag 2.66, 4 Be 2.71
2 Si 0.5000 0.5000 0.0000 x1  8 Be 2.45, 4 Si 2.71
3 Ag 0.5000 0.5000 0.5000 x1  8 Be 2.66, 4 Ag 2.71

=====

No. 2
VASP calculation (PBE) on BeSi2Ag after structural relaxation.

Output
The size of the total moment is 0.0 μB/cell. For the calculated density, the calculation gives 4.93 g cm⁻³. As for the formation energy without anion corrections: 0.540 eV per atom.

Unit cell a=3.8454 b=3.8454 c=7.8776 alpha=90.00 beta=90.00 gamma=90.00
With the nearest neighbours (Å) after each atom.
Space group I-4m2 (No. 119)
Inequivalent atoms, fractional coordinates:
1 Be 0.0000 0.0000 0.0000 x2  8 Si 2.72-2.75, 4 Ag 2.75
2 Si 0.0000 0.0000 0.5000 x2  4 Be 2.72, 4 Si 2.75, 4 Ag 2.75
3 Si 0.0000 0.5000 0.7500 x2  4 Ag 2.72, 4 Be 2.75, 4 Si 2.75
4 Ag 0.0000 0.5000 0.2500 x2  8 Si 2.72-2.75, 4 Be 2.75

=====

No. 3
VASP calculation (PBE) on BeSiAg2 after structural relaxation.

Output
The size of the total moment is 0.0 μB/cell. As for the energy above the lowest structure with this stoichiometry: 0.041 eV per atom. For the calculated density, the calculation gives 6.93 g cm⁻³. As for the formation energy without anion corrections: 0.289 eV per atom.

Unit cell a=3.0128 b=3.9273 c=5.2365 alpha=90.00 beta=102.15 gamma=90.00
With the nearest neighbours (Å) after each atom.
Space group Pm (No. 6)
Inequivalent atoms, fractional coordinates:
1 Be 0.0000 0.0000 0.0000 x1  2 Si 2.31
2 Si 0.1515 0.5000 0.2335 x1  2 Be 2.31
3 Ag 0.4213 0.5000 0.7869 x1  3 Si 2.63-2.85, 4 Be 2.70-2.71, 4 Ag 2.92-2.95
4 Ag 0.7991 0.0000 0.4798 x1  2 Be 2.66-2.71, 4 Si 2.69-2.88, 4 Ag 2.92-2.95

=====

No. 4
VASP calculation (PBE) on BeSi2Ag after structural relaxation.

Output
The size of the total moment is 0.0 μB/cell. For the calculated density, the calculation gives 4.87 g cm⁻³. As for the formation energy without anion corrections: 0.459 eV per atom.

Unit cell a=2.6097 b=3.2887 c=6.8746 alpha=90.00 beta=90.00 gamma=90.00
With the nearest neighbours (Å) after each atom.
Space group Pmmm (No. 47)
Inequivalent atoms, fractional coordinates:
1 Be 0.0000 0.0000 0.0000 x1  8 Si 2.49, 2 Be 2.61
2 Si 0.5000 0.5000 0.1949 x2  4 Be 2.49, 3 Si 2.61-2.68
3 Ag 0.0000 0.0000 0.5000 x1  2 Ag 2.61

=====

No. 5
VASP calculation (PBE) on BeSi2Ag after structural relaxation.

Output
The size of the total moment is 0.0 μB/cell. For the calculated density, the calculation gives 4.92 g cm⁻³. As for the formation energy without anion corrections: 0.393 eV per atom.

Unit cell a=2.6661 b=4.1697 c=10.5151 alpha=90.00 beta=90.00 gamma=90.00
With the nearest neighbours (Å) after each atom.
Space group Immm (No. 71)
Inequivalent atoms, fractional coordinates:
1 Be 0.0000 0.0000 0.0000 x2  4 Si 2.47, 4 Ag 2.47, 2 Be 2.67
2 Si 0.0000 0.5000 0.3024 x4  2 Be 2.47, 6 Si 2.67-2.71
3 Ag 0.0000 0.0000 0.5000 x2  4 Be 2.47, 2 Ag 2.67

=====

No. 6
VASP calculation (PBE) on Be2SiAgW after structural relaxation.

Output
The size of the total moment is 0.0 μB/cell. For the calculated density, the calculation gives 6.10 g cm⁻³. As for the formation energy without anion corrections: 1.140 eV per atom.

Unit cell a=4.4347 b=4.4347 c=4.6732 alpha=90.00 beta=90.00 gamma=90.00
With the nearest neighbours (Å) after each atom.
Space group P4/mmm (No. 123)
Inequivalent atoms, fractional coordinates:
1 Be 0.0000 0.5000 0.0000 x2  2 W 2.22
2 Si 0.0000 0.0000 0.5000 x1  2 W 2.34
3 Ag 0.5000 0.5000 0.5000 x1  4 Si 3.14, 8 Be 3.22
4 W 0.0000 0.0000 0.0000 x1  4 Be 2.22, 2 Si 2.34

=====

No. 7
VASP calculation (PBE) on Sm2BeAg after structural relaxation.

Output
The size of the total moment is 0.0 μB/cell. As for the energy above the lowest structure with this stoichiometry: 0.000 eV per atom. For the calculated density, the calculation gives 7.45 g cm⁻³. The calculated formation energy is -66 meV per atom.

Unit cell a=3.5653 b=3.5653 c=7.3203 alpha=90.00 beta=90.00 gamma=90.00
With the nearest neighbours (Å) after each atom.
Space group P4/mmm (No. 123)
Inequivalent atoms, fractional coordinates:
1 Sm 0.0000 0.0000 0.2276 x2  4 Be 3.02, 4 Ag 3.21, 1 Sm 3.33
2 Be 0.5000 0.5000 0.0000 x1  8 Sm 3.02
3 Ag 0.5000 0.5000 0.5000 x1  8 Sm 3.21, 4 Ag 3.57

=====

No. 8
VASP calculation (PBE) on Sm2BeAg after structural relaxation.

Output
The size of the total moment is 0.0 μB/cell. As for the energy above the lowest structure with this stoichiometry: 0.057 eV per atom. For the calculated density, the calculation gives 7.29 g cm⁻³. The calculated formation energy is -9 meV per atom.

Unit cell a=7.2469 b=7.2469 c=7.2469 alpha=90.00 beta=90.00 gamma=90.00
With the nearest neighbours (Å) after each atom.
Space group Fm-3m (No. 225)
Inequivalent atoms, fractional coordinates:
1 Sm 0.2500 0.2500 0.2500 x8  4 Be 3.14, 4 Ag 3.14
2 Be 0.0000 0.0000 0.0000 x4  8 Sm 3.14
3 Ag 0.0000 0.0000 0.5000 x4  8 Sm 3.14

=====

No. 9
VASP calculation (PBE) on SmTmBeAg after structural relaxation.

Output
The size of the total moment is 0.0 μB/cell. For the calculated density, the calculation gives 8.03 g cm⁻³. The calculated formation energy is -45 meV per atom.

Unit cell a=7.1198 b=7.1198 c=7.1198 alpha=90.00 beta=90.00 gamma=90.00
With the nearest neighbours (Å) after each atom.
Space group F-43m (No. 216)
Inequivalent atoms, fractional coordinates:
1 Sm 0.0000 0.0000 0.0000 x4  4 Ag 3.08, 4 Be 3.08
2 Tm 0.0000 0.0000 0.5000 x4  4 Be 3.08, 4 Ag 3.08
3 Be 0.2500 0.2500 0.7500 x4  4 Tm 3.08, 4 Sm 3.08
4 Ag 0.2500 0.2500 0.2500 x4  4 Tm 3.08, 4 Sm 3.08

=====

No. 10
VASP calculation (PBE) on SmYBeAg after structural relaxation.

Output
The size of the total moment is 0.0 μB/cell. For the calculated density, the calculation gives 6.39 g cm⁻³. The calculated formation energy is -42 meV per atom.

Unit cell a=7.1795 b=7.1795 c=7.1795 alpha=90.00 beta=90.00 gamma=90.00
With the nearest neighbours (Å) after each atom.
Space group F-43m (No. 216)
Inequivalent atoms, fractional coordinates:
1 Sm 0.0000 0.0000 0.0000 x4  4 Be 3.11, 4 Ag 3.11
2 Y 0.0000 0.0000 0.5000 x4  4 Ag 3.11, 4 Be 3.11
3 Be 0.2500 0.2500 0.2500 x4  4 Sm 3.11, 4 Y 3.11
4 Ag 0.2500 0.2500 0.7500 x4  4 Sm 3.11, 4 Y 3.11

=====

No. 11
VASP calculation (PBE) on BeAgSn2 after structural relaxation.

Output
The size of the total moment is 0.0 μB/cell. For the calculated density, the calculation gives 6.58 g cm⁻³. The calculated formation energy is 348 meV per atom.

Unit cell a=4.5821 b=4.5821 c=17.0315 alpha=90.00 beta=90.00 gamma=90.00
With the nearest neighbours (Å) after each atom.
Space group I-42d (No. 122)
Inequivalent atoms, fractional coordinates:
1 Be 0.0000 0.0000 0.0000 x4  4 Sn 2.62
2 Ag 0.0000 0.0000 0.5000 x4  4 Sn 2.74
3 Sn 0.2206 0.2500 0.1250 x8  2 Be 2.62, 2 Ag 2.74

=====

No. 12
VASP calculation (PBE) on BeAg2Sn2 after structural relaxation.

Output
The size of the total moment is 0.0 μB/cell. As for the energy above the lowest structure with this stoichiometry: 0.000 eV per atom. For the calculated density, the calculation gives 7.39 g cm⁻³. The calculated formation energy is 319 meV per atom.

Unit cell a=6.6761 b=6.6761 c=4.6606 alpha=90.00 beta=90.00 gamma=90.00
With the nearest neighbours (Å) after each atom.
Space group P4/mbm (No. 127)
Inequivalent atoms, fractional coordinates:
1 Be 0.0000 0.0000 0.0000 x2  4 Ag 2.52
2 Ag 0.1579 0.3421 0.0000 x4  2 Be 2.52
3 Sn 0.1678 0.6678 0.5000 x4  6 Ag 2.85-3.19, 1 Sn 3.17

=====

No. 13
VASP calculation (PBE) on BeAg2Sn2 after structural relaxation.

Output
The size of the total moment is 0.0 μB/cell. As for the energy above the lowest structure with this stoichiometry: 0.155 eV per atom. For the calculated density, the calculation gives 6.99 g cm⁻³. The calculated formation energy is 474 meV per atom.

Unit cell a=3.7478 b=3.7478 c=15.6429 alpha=90.00 beta=90.00 gamma=90.00
With the nearest neighbours (Å) after each atom.
Space group I4/mmm (No. 139)
Inequivalent atoms, fractional coordinates:
1 Be 0.0000 0.0000 0.0000 x2  8 Sn 3.04
2 Ag 0.0000 0.5000 0.2500 x4  4 Ag 2.65
3 Sn 0.0000 0.0000 0.4042 x4  1 Sn 3.00, 4 Be 3.04, 4 Ag 3.06

=====

No. 14
VASP calculation (PBE) on Be3AgSn after structural relaxation.

Output
The size of the total moment is 0.0 μB/cell. As for the energy above the lowest structure with this stoichiometry: 0.000 eV per atom. For the calculated density, the calculation gives 4.90 g cm⁻³. The calculated formation energy is 780 meV per atom.

Unit cell a=4.4146 b=4.4146 c=4.4146 alpha=90.00 beta=90.00 gamma=90.00
With the nearest neighbours (Å) after each atom.
Space group Pm-3m (No. 221)
Inequivalent atoms, fractional coordinates:
1 Be 0.0000 0.0000 0.5000 x3  2 Ag 2.21
2 Ag 0.0000 0.0000 0.0000 x1  6 Be 2.21
3 Sn 0.5000 0.5000 0.5000 x1  12 Be 3.12